DFT (PBE-GGA) results for a relaxed Sm3NbSe3O4 crystal.

Cell: 6.9439 7.8143 14.9870 Å, 90.00 90.00 90.00°
Element x y z (fractional)
O: 0.3863 0.5268 0.8862
O: 0.8677 0.2500 0.4320
O: 0.6137 0.0268 0.1138
O: 0.3677 0.2500 0.0680
O: 0.3573 0.7500 0.0622
O: 0.1427 0.2500 0.5622
O: 0.8863 0.9732 0.6138
O: 0.6137 0.4732 0.1138
O: 0.6323 0.7500 0.9320
O: 0.1137 0.0268 0.3862
O: 0.1323 0.7500 0.5680
O: 0.6427 0.2500 0.9378
O: 0.8863 0.5268 0.6138
O: 0.3863 0.9732 0.8862
O: 0.8573 0.7500 0.4378
O: 0.1137 0.4732 0.3862
Sm: 0.2137 0.5069 0.6533
Sm: 0.2834 0.2500 0.9176
Sm: 0.7137 0.5069 0.8467
Sm: 0.2166 0.7500 0.4176
Sm: 0.7834 0.2500 0.5824
Sm: 0.2863 0.0069 0.1533
Sm: 0.7863 0.4931 0.3467
Sm: 0.7137 0.9931 0.8467
Sm: 0.2863 0.4931 0.1533
Sm: 0.7863 0.0069 0.3467
Sm: 0.2137 0.9931 0.6533
Sm: 0.7166 0.7500 0.0824
Nb: 0.6753 0.2500 0.0676
Nb: 0.8247 0.7500 0.5676
Nb: 0.1753 0.2500 0.4324
Nb: 0.3247 0.7500 0.9324
Se: 0.0000 0.0000 0.0000
Se: 0.9491 0.2500 0.2026
Se: 0.0509 0.7500 0.7974
Se: 0.4491 0.2500 0.2974
Se: 0.5000 0.0000 0.5000
Se: 0.5029 0.7500 0.2714
Se: 0.4971 0.2500 0.7286
Se: 0.9971 0.2500 0.7714
Se: 0.5000 0.5000 0.5000
Se: 0.0029 0.7500 0.2286
Se: 0.5509 0.7500 0.7026
Se: 0.0000 0.5000 0.0000

Values from the calculation:
E_tot (eV per atom): -7.50
Size of the total moment (μB/f.u.): 0.00
V (Å³ per atom): 18.48
Raw formation energy (eV/atom): -2.545
Space-group type: Pnma, No. 62